Na2ZnCuH5: optimized geometry, GGA-PBE.

## Properties
uncorrected energy = -2.801 eV per atom
density of states at the Fermi level = 0.00 states/eV/f.u.
total moment = 0.00 Bohr magnetons per cell

abc: 3.0577 7.1233 10.3244
angles: 90.00 90.00 102.39
Last column: nearest neighbours and their distance in Å.
Fractional positions:
H  0.0785  0.1570  0.0142  1 Cu 1.62
H  0.3075  0.6150  0.6598  2 Cu 1.80
H  0.3863  0.7726  0.2777  1 Zn 1.63
H  0.4472  0.8943  0.9369  1 Zn 1.62
H  0.6925  0.3850  0.1598  2 Cu 1.80
H  0.7107  0.4213  0.4949  1 Cu 1.60
H  0.5528  0.1057  0.4369  1 Zn 1.62
H  0.2893  0.5787  0.9949  1 Cu 1.60
H  0.6137  0.2274  0.7777  1 Zn 1.63
H  0.9215  0.8430  0.5142  1 Cu 1.62
Na  0.8875  0.7751  0.1118  6 H 2.30-2.51
Na  0.1125  0.2249  0.6118  6 H 2.30-2.51
Na  0.2027  0.4053  0.3401  4 H 2.21-2.41
Na  0.7973  0.5947  0.8401  4 H 2.21-2.41
Cu  0.8121  0.6241  0.5680  2 H 1.60-1.62
Cu  0.1879  0.3759  0.0680  2 H 1.60-1.62
Zn  0.5632  0.1263  0.9206  2 H 1.62-1.63
Zn  0.4368  0.8737  0.4206  2 H 1.62-1.63

=====

Nb3CuH3: optimized geometry, GGA-PBE.

## Properties
uncorrected energy = -6.402 eV per atom
density of states at the Fermi level = 4.74 states/eV/f.u.
total moment = 0.00 Bohr magnetons per cell

abc: 5.3921 5.3921 5.3921
angles: 90.00 90.00 90.00
Last column: nearest neighbours and their distance in Å.
Fractional positions:
H  0.2500  0.0000  0.5000  4 Nb 1.91
H  0.5000  0.7500  0.0000  4 Nb 1.91
H  0.0000  0.5000  0.2500  4 Nb 1.91
H  0.7500  0.0000  0.5000  4 Nb 1.91
H  0.5000  0.2500  0.0000  4 Nb 1.91
H  0.0000  0.5000  0.7500  4 Nb 1.91
Nb  0.5000  0.0000  0.7500  4 H 1.91
Nb  0.7500  0.5000  0.0000  4 H 1.91
Nb  0.2500  0.5000  0.0000  4 H 1.91
Nb  0.5000  0.0000  0.2500  4 H 1.91
Nb  0.0000  0.7500  0.5000  4 H 1.91
Nb  0.0000  0.2500  0.5000  4 H 1.91
Cu  0.0000  0.0000  0.0000  12 H 3.01, 12 Nb 3.01
Cu  0.5000  0.5000  0.5000  12 Nb 3.01, 12 H 3.01

=====

Nb2CuH2: optimized geometry, GGA-PBE.

## Properties
uncorrected energy = -6.227 eV per atom
excess energy over the best structure of this formula in the dataset = 0.0 meV/atom
density of states at the Fermi level = 4.42 states/eV/f.u.
total moment = 0.00 Bohr magnetons per cell

abc: 3.5180 3.5180 5.1159
angles: 69.89 69.89 90.00
Last column: nearest neighbours and their distance in Å.
Fractional positions:
H  0.7500  0.2500  0.5000  4 Nb 1.96
H  0.2500  0.7500  0.5000  4 Nb 1.96
Nb  0.3456  0.3456  0.3089  4 H 1.96
Nb  0.6544  0.6544  0.6911  4 H 1.96
Cu  0.0000  0.0000  0.0000  8 H 2.84, 10 Nb 2.85-3.09

=====

Nb2CuH2: optimized geometry, GGA-PBE.

## Properties
uncorrected energy = -6.074 eV per atom
excess energy over the best structure of this formula in the dataset = 152.8 meV/atom
density of states at the Fermi level = 2.29 states/eV/f.u.
total moment = 0.00 Bohr magnetons per cell

abc: 6.1917 6.1917 2.7657
angles: 90.00 90.00 90.00
Last column: nearest neighbours and their distance in Å.
Fractional positions:
H  0.8653  0.6347  0.0000  6 Nb 2.27-2.30, 1 H 2.36, 2 Cu 2.41
H  0.3653  0.8653  0.0000  6 Nb 2.27-2.30, 1 H 2.36, 2 Cu 2.41
H  0.6347  0.1347  0.0000  6 Nb 2.27-2.30, 1 H 2.36, 2 Cu 2.41
H  0.1347  0.3653  0.0000  6 Nb 2.27-2.30, 1 H 2.36, 2 Cu 2.41
Nb  0.1602  0.6602  0.5000  6 H 2.27-2.30
Nb  0.3398  0.1602  0.5000  6 H 2.27-2.30
Nb  0.8398  0.3398  0.5000  6 H 2.27-2.30
Nb  0.6602  0.8398  0.5000  6 H 2.27-2.30
Cu  0.5000  0.5000  0.0000  4 H 2.41
Cu  0.0000  0.0000  0.0000  4 H 2.41

=====

Nb2CuH: optimized geometry, GGA-PBE.

## Properties
uncorrected energy = -6.469 eV per atom
excess energy over the best structure of this formula in the dataset = 0.0 meV/atom
density of states at the Fermi level = 1.49 states/eV/f.u.
total moment = 0.00 Bohr magnetons per cell

abc: 4.2525 4.2525 4.2525
angles: 60.00 60.00 60.00
Last column: nearest neighbours and their distance in Å.
Fractional positions:
H  0.0000  0.0000  0.0000  8 Nb 2.60
Nb  0.7500  0.7500  0.7500  4 H 2.60, 4 Cu 2.60
Nb  0.2500  0.2500  0.2500  4 Cu 2.60, 4 H 2.60
Cu  0.5000  0.5000  0.5000  8 Nb 2.60

=====

Nb2CuH: optimized geometry, GGA-PBE.

## Properties
uncorrected energy = -6.252 eV per atom
excess energy over the best structure of this formula in the dataset = 216.6 meV/atom
density of states at the Fermi level = 1.84 states/eV/f.u.
total moment = 0.00 Bohr magnetons per cell

abc: 3.2128 3.2128 7.4491
angles: 77.55 77.55 60.00
Last column: nearest neighbours and their distance in Å.
Fractional positions:
H  0.5000  0.5000  0.5000  6 Nb 2.08
Nb  0.1230  0.1230  0.6311  3 H 2.08
Nb  0.8770  0.8770  0.3689  3 H 2.08
Cu  0.0000  0.0000  0.0000  2 Nb 2.66

=====

NbCu2H2: optimized geometry, GGA-PBE.

## Properties
uncorrected energy = -4.863 eV per atom
density of states at the Fermi level = 1.95 states/eV/f.u.
total moment = 1.27 Bohr magnetons per cell

abc: 5.0530 5.0530 3.9871
angles: 90.00 90.00 90.00
Last column: nearest neighbours and their distance in Å.
Fractional positions:
H  0.8483  0.3483  0.0000  2 Nb 1.92, 2 Cu 2.00
H  0.1517  0.6517  0.0000  2 Nb 1.92, 2 Cu 2.00
H  0.6517  0.8483  0.0000  2 Nb 1.92, 2 Cu 2.00
H  0.3483  0.1517  0.0000  2 Nb 1.92, 2 Cu 2.00
Cu  0.3272  0.1728  0.5000  2 H 2.00
Cu  0.6728  0.8272  0.5000  2 H 2.00
Cu  0.8272  0.3272  0.5000  2 H 2.00
Cu  0.1728  0.6728  0.5000  2 H 2.00
Nb  0.0000  0.0000  0.0000  4 H 1.92
Nb  0.5000  0.5000  0.0000  4 H 1.92

=====

Nb2CuH: optimized geometry, GGA-PBE.

## Properties
uncorrected energy = -6.291 eV per atom
excess energy over the best structure of this formula in the dataset = 177.5 meV/atom
density of states at the Fermi level = 0.36 states/eV/f.u.
total moment = 0.00 Bohr magnetons per cell

abc: 4.8365 4.8365 6.3138
angles: 67.48 67.48 90.00
Last column: nearest neighbours and their distance in Å.
Fractional positions:
Nb  0.8750  0.7306  0.7500  2 H 1.87
Nb  0.2694  0.6250  0.2500  2 H 1.87
Nb  0.4806  0.1250  0.2500  2 H 1.87
Nb  0.3750  0.5194  0.7500  2 H 1.87
H  0.2500  0.7500  0.5000  4 Nb 1.87
H  0.5000  0.5000  0.0000  4 Nb 1.87
Cu  0.0000  0.0000  0.0000  4 Nb 2.62
Cu  0.7500  0.2500  0.5000  4 Nb 2.62

=====

NbCuNi2H: optimized geometry, GGA-PBE.

## Properties
uncorrected energy = -5.753 eV per atom
density of states at the Fermi level = 7.26 states/eV/f.u.
total moment = 0.59 Bohr magnetons per cell

abc: 3.7156 3.7156 3.9739
angles: 90.00 90.00 90.00
Last column: nearest neighbours and their distance in Å.
Fractional positions:
H  0.0000  0.0000  0.0000  4 Ni 1.86, 2 Nb 1.99
Cu  0.5000  0.5000  0.5000  4 Nb 2.63, 8 Ni 2.72
Ni  0.5000  0.0000  0.0000  2 H 1.86
Ni  0.0000  0.5000  0.0000  2 H 1.86
Nb  0.0000  0.0000  0.5000  2 H 1.99

=====

Nb2CuHPd: optimized geometry, GGA-PBE.

## Properties
uncorrected energy = -6.657 eV per atom
excess energy over the best structure of this formula in the dataset = 25.1 meV/atom
density of states at the Fermi level = 2.94 states/eV/f.u.
total moment = 0.00 Bohr magnetons per cell

abc: 4.0438 4.0438 4.0749
angles: 90.00 90.00 90.00
Last column: nearest neighbours and their distance in Å.
Fractional positions:
Nb  0.5000  0.0000  0.0000  2 H 2.02
Nb  0.0000  0.5000  0.0000  2 H 2.02
Pd  0.0000  0.0000  0.5000  2 H 2.04
Cu  0.5000  0.5000  0.5000  4 Pd 2.86, 8 Nb 2.87
H  0.0000  0.0000  0.0000  4 Nb 2.02, 2 Pd 2.04

=====

Nb2CuHPd: optimized geometry, GGA-PBE.

## Properties
uncorrected energy = -6.682 eV per atom
excess energy over the best structure of this formula in the dataset = 0.0 meV/atom
density of states at the Fermi level = 2.06 states/eV/f.u.
total moment = 0.00 Bohr magnetons per cell

abc: 4.0356 4.0356 4.0601
angles: 90.00 90.00 90.00
Last column: nearest neighbours and their distance in Å.
Fractional positions:
Nb  0.5000  0.0000  0.0000  2 H 2.02
Nb  0.0000  0.5000  0.0000  2 H 2.02
H  0.0000  0.0000  0.0000  4 Nb 2.02, 2 Cu 2.03
Pd  0.5000  0.5000  0.5000  4 Cu 2.85, 8 Nb 2.86
Cu  0.0000  0.0000  0.5000  2 H 2.03

=====

Nb2CuHPt: optimized geometry, GGA-PBE.

## Properties
uncorrected energy = -6.983 eV per atom
excess energy over the best structure of this formula in the dataset = 0.0 meV/atom
density of states at the Fermi level = 2.86 states/eV/f.u.
total moment = 0.00 Bohr magnetons per cell

abc: 4.0549 4.0549 4.0287
angles: 90.00 90.00 90.00
Last column: nearest neighbours and their distance in Å.
Fractional positions:
Nb  0.5000  0.0000  0.0000  2 H 2.03
Nb  0.0000  0.5000  0.0000  2 H 2.03
Cu  0.0000  0.0000  0.5000  2 H 2.01
H  0.0000  0.0000  0.0000  2 Cu 2.01, 4 Nb 2.03
Pt  0.5000  0.5000  0.5000  8 Nb 2.86, 4 Cu 2.87

=====

Q: Which formula does entry 2 have?
A: Nb3CuH3

=====

Q: Which formula does entry 9 have?
A: NbCuNi2H

=====

Q: Which of these has the lowest density of states at the Fermi level?
A: Na2ZnCuH5